# BaTl3Au3 | Alexandria | PBE-GGA | optimized geometry
data_BaTl3Au3
_chemical_formula_sum 'Ba2 Tl6 Au6'
_cell_length_a 8.751
_cell_length_b 8.751
_cell_length_c 7.898
_cell_angle_alpha 56.36
_cell_angle_beta 56.36
_cell_angle_gamma 60.00
_space_group_name_H-M_alt 'P 1'
_space_group_IT_number 1
_space_group_name_Hall 'P 1'
loop_
_atom_site_label
_atom_site_type_symbol
_atom_site_fract_x
_atom_site_fract_y
_atom_site_fract_z
Ba1 Ba 0.279 0.279 0.164
Ba2 Ba 0.721 0.721 0.836
Tl1 Tl 0.292 0.851 0.754
Tl2 Tl 0.851 0.102 0.754
Tl3 Tl 0.102 0.292 0.754
Tl4 Tl 0.898 0.708 0.246
Tl5 Tl 0.149 0.898 0.246
Tl6 Tl 0.708 0.149 0.246
Au1 Au 0.394 0.502 0.305
Au2 Au 0.799 0.394 0.305
Au3 Au 0.502 0.799 0.305
Au4 Au 0.498 0.201 0.695
Au5 Au 0.201 0.606 0.695
Au6 Au 0.606 0.498 0.695
# volume	201.29	Å³/f.u.
# SG	No. 148
# final energy	-40.70	eV/cell
# calculated formation energy	-0.214	eV/atom



# BaTl2Au | Alexandria | PBE-GGA | optimized geometry
data_BaTl2Au
_chemical_formula_sum 'Ba1 Tl2 Au1'
_cell_length_a 4.488
_cell_length_b 4.370
_cell_length_c 7.098
_cell_angle_alpha 71.90
_cell_angle_beta 90.00
_cell_angle_gamma 90.00
_space_group_name_H-M_alt 'P 1'
_space_group_IT_number 1
_space_group_name_Hall 'P 1'
loop_
_atom_site_label
_atom_site_type_symbol
_atom_site_fract_x
_atom_site_fract_y
_atom_site_fract_z
Tl1 Tl 0.000 0.042 0.042
Tl2 Tl 0.500 0.446 0.235
Au1 Au 0.000 0.298 0.528
Ba1 Ba 0.500 0.713 0.695
# volume	132.33	Å³/f.u.
# SG	No. 6
# final energy	-11.29	eV/cell
# calculated formation energy	-0.340	eV/atom



# Ba3Tl7Au2 | Alexandria | PBE-GGA | optimized geometry
data_Ba3Tl7Au2
_chemical_formula_sum 'Ba3 Tl7 Au2'
_cell_length_a 6.532
_cell_length_b 6.532
_cell_length_c 10.994
_cell_angle_alpha 72.72
_cell_angle_beta 72.72
_cell_angle_gamma 60.00
_space_group_name_H-M_alt 'P 1'
_space_group_IT_number 1
_space_group_name_Hall 'P 1'
loop_
_atom_site_label
_atom_site_type_symbol
_atom_site_fract_x
_atom_site_fract_y
_atom_site_fract_z
Ba1 Ba 0.000 0.000 0.000
Ba2 Ba 0.861 0.861 0.417
Ba3 Ba 0.139 0.139 0.583
Tl1 Tl 0.500 0.500 0.500
Tl2 Tl 0.928 0.420 0.231
Tl3 Tl 0.420 0.928 0.231
Tl4 Tl 0.420 0.420 0.231
Tl5 Tl 0.072 0.580 0.769
Tl6 Tl 0.580 0.580 0.769
Tl7 Tl 0.580 0.072 0.769
Au1 Au 0.664 0.664 0.007
Au2 Au 0.336 0.336 0.993
# volume	381.60	Å³/f.u.
# SG	No. 166
# final energy	-32.48	eV/cell
# calculated formation energy	-0.299	eV/atom



# BaTl3Au | Alexandria | PBE-GGA | optimized geometry
data_BaTl3Au
_chemical_formula_sum 'Ba4 Tl12 Au4'
_cell_length_a 4.901
_cell_length_b 9.923
_cell_length_c 12.759
_cell_angle_alpha 90.00
_cell_angle_beta 90.00
_cell_angle_gamma 90.00
_space_group_name_H-M_alt 'P 1'
_space_group_IT_number 1
_space_group_name_Hall 'P 1'
loop_
_atom_site_label
_atom_site_type_symbol
_atom_site_fract_x
_atom_site_fract_y
_atom_site_fract_z
Ba1 Ba 0.750 0.794 0.996
Ba2 Ba 0.250 0.706 0.496
Ba3 Ba 0.750 0.294 0.504
Ba4 Ba 0.250 0.206 0.004
Tl1 Tl 0.250 0.569 0.100
Tl2 Tl 0.750 0.431 0.900
Tl3 Tl 0.250 0.069 0.400
Tl4 Tl 0.750 0.931 0.600
Tl5 Tl 0.250 0.390 0.700
Tl6 Tl 0.750 0.110 0.200
Tl7 Tl 0.250 0.890 0.800
Tl8 Tl 0.750 0.632 0.703
Tl9 Tl 0.250 0.368 0.297
Tl10 Tl 0.750 0.132 0.797
Tl11 Tl 0.750 0.610 0.300
Tl12 Tl 0.250 0.868 0.203
Au1 Au 0.250 0.103 0.635
Au2 Au 0.250 0.603 0.865
Au3 Au 0.750 0.397 0.135
Au4 Au 0.750 0.897 0.365
# volume	155.15	Å³/f.u.
# SG	No. 62
# final energy	-55.07	eV/cell
# calculated formation energy	-0.294	eV/atom



# BaTl3Au | Alexandria | PBE-GGA | optimized geometry
data_BaTl3Au
_chemical_formula_sum 'Ba1 Tl3 Au1'
_cell_length_a 4.999
_cell_length_b 4.999
_cell_length_c 7.276
_cell_angle_alpha 110.15
_cell_angle_beta 110.15
_cell_angle_gamma 90.03
_space_group_name_H-M_alt 'P 1'
_space_group_IT_number 1
_space_group_name_Hall 'P 1'
loop_
_atom_site_label
_atom_site_type_symbol
_atom_site_fract_x
_atom_site_fract_y
_atom_site_fract_z
Tl1 Tl 0.755 0.254 0.509
Tl2 Tl 0.407 0.407 0.812
Tl3 Tl 0.254 0.755 0.509
Au1 Au 0.626 0.626 0.254
Ba1 Ba 0.020 0.020 0.040
# volume	158.77	Å³/f.u.
# SG	No. 8
# final energy	-13.93	eV/cell
# calculated formation energy	-0.326	eV/atom



# Ba2Tl3Au | Alexandria | PBE-GGA | optimized geometry
data_Ba2Tl3Au
_chemical_formula_sum 'Ba2 Tl3 Au1'
_cell_length_a 5.191
_cell_length_b 6.860
_cell_length_c 6.636
_cell_angle_alpha 94.12
_cell_angle_beta 113.03
_cell_angle_gamma 67.76
_space_group_name_H-M_alt 'P 1'
_space_group_IT_number 1
_space_group_name_Hall 'P 1'
loop_
_atom_site_label
_atom_site_type_symbol
_atom_site_fract_x
_atom_site_fract_y
_atom_site_fract_z
Ba1 Ba 0.748 0.295 0.792
Ba2 Ba 0.255 0.699 0.210
Tl1 Tl 0.953 0.700 0.605
Tl2 Tl 0.567 0.110 0.244
Tl3 Tl 0.435 0.903 0.773
Au1 Au 0.041 0.293 0.376
# volume	200.50	Å³/f.u.
# SG	No. 8
# final energy	-16.92	eV/cell
# calculated formation energy	-0.450	eV/atom



# Ba2TlAu7 | Alexandria | PBE-GGA | optimized geometry
data_Ba2TlAu7
_chemical_formula_sum 'Ba2 Tl1 Au7'
_cell_length_a 4.670
_cell_length_b 4.670
_cell_length_c 11.965
_cell_angle_alpha 90.00
_cell_angle_beta 90.00
_cell_angle_gamma 90.00
_space_group_name_H-M_alt 'P 1'
_space_group_IT_number 1
_space_group_name_Hall 'P 1'
loop_
_atom_site_label
_atom_site_type_symbol
_atom_site_fract_x
_atom_site_fract_y
_atom_site_fract_z
Ba1 Ba 0.500 0.000 0.733
Ba2 Ba 0.000 0.500 0.267
Tl1 Tl 0.500 0.500 0.000
Au1 Au 0.000 0.500 0.858
Au2 Au 0.500 0.000 0.368
Au3 Au 0.500 0.000 0.142
Au4 Au 0.000 0.500 0.632
Au5 Au 0.000 0.000 0.500
Au6 Au 0.000 0.000 0.000
Au7 Au 0.500 0.500 0.500
# volume	260.91	Å³/f.u.
# SG	No. 115
# final energy	-33.63	eV/cell
# calculated formation energy	-0.448	eV/atom



# Ba2Tl5Au | Alexandria | PBE-GGA | optimized geometry
data_Ba2Tl5Au
_chemical_formula_sum 'Ba4 Tl10 Au2'
_cell_length_a 5.071
_cell_length_b 10.043
_cell_length_c 10.898
_cell_angle_alpha 90.00
_cell_angle_beta 90.00
_cell_angle_gamma 104.62
_space_group_name_H-M_alt 'P 1'
_space_group_IT_number 1
_space_group_name_Hall 'P 1'
loop_
_atom_site_label
_atom_site_type_symbol
_atom_site_fract_x
_atom_site_fract_y
_atom_site_fract_z
Ba1 Ba 0.802 0.604 0.750
Ba2 Ba 0.198 0.396 0.250
Ba3 Ba 0.000 0.000 0.000
Ba4 Ba 0.000 0.000 0.500
Tl1 Tl 0.192 0.385 0.898
Tl2 Tl 0.808 0.615 0.102
Tl3 Tl 0.192 0.385 0.602
Tl4 Tl 0.808 0.615 0.398
Tl5 Tl 0.359 0.718 0.966
Tl6 Tl 0.641 0.282 0.034
Tl7 Tl 0.359 0.718 0.534
Tl8 Tl 0.641 0.282 0.466
Tl9 Tl 0.593 0.186 0.750
Tl10 Tl 0.407 0.814 0.250
Au1 Au 0.447 0.893 0.750
Au2 Au 0.553 0.107 0.250
# volume	268.54	Å³/f.u.
# SG	No. 63
# final energy	-43.28	eV/cell
# calculated formation energy	-0.336	eV/atom



# BaTlAu4 | Alexandria | PBE-GGA | optimized geometry
data_BaTlAu4
_chemical_formula_sum 'Ba4 Tl4 Au16'
_cell_length_a 4.193
_cell_length_b 9.809
_cell_length_c 16.002
_cell_angle_alpha 90.00
_cell_angle_beta 90.00
_cell_angle_gamma 90.00
_space_group_name_H-M_alt 'P 1'
_space_group_IT_number 1
_space_group_name_Hall 'P 1'
loop_
_atom_site_label
_atom_site_type_symbol
_atom_site_fract_x
_atom_site_fract_y
_atom_site_fract_z
Ba1 Ba 0.000 0.623 0.358
Ba2 Ba 0.000 0.377 0.642
Ba3 Ba 0.000 0.123 0.142
Ba4 Ba 0.000 0.877 0.858
Tl1 Tl 0.000 0.639 0.087
Tl2 Tl 0.000 0.361 0.913
Tl3 Tl 0.000 0.139 0.413
Tl4 Tl 0.000 0.861 0.587
Au1 Au 0.500 0.788 0.205
Au2 Au 0.500 0.212 0.795
Au3 Au 0.500 0.288 0.295
Au4 Au 0.500 0.712 0.705
Au5 Au 0.500 0.875 0.036
Au6 Au 0.500 0.125 0.964
Au7 Au 0.500 0.375 0.464
Au8 Au 0.500 0.625 0.536
Au9 Au 0.500 0.870 0.446
Au10 Au 0.500 0.130 0.554
Au11 Au 0.500 0.370 0.054
Au12 Au 0.500 0.630 0.946
Au13 Au 0.500 0.012 0.297
Au14 Au 0.500 0.988 0.703
Au15 Au 0.500 0.512 0.203
Au16 Au 0.500 0.488 0.797
# volume	164.53	Å³/f.u.
# SG	No. 55
# final energy	-77.36	eV/cell
# calculated formation energy	-0.323	eV/atom



# Ba2TlAu3 | Alexandria | PBE-GGA | optimized geometry
data_Ba2TlAu3
_chemical_formula_sum 'Ba4 Tl2 Au6'
_cell_length_a 6.618
_cell_length_b 6.618
_cell_length_c 9.570
_cell_angle_alpha 107.00
_cell_angle_beta 107.00
_cell_angle_gamma 98.87
_space_group_name_H-M_alt 'P 1'
_space_group_IT_number 1
_space_group_name_Hall 'P 1'
loop_
_atom_site_label
_atom_site_type_symbol
_atom_site_fract_x
_atom_site_fract_y
_atom_site_fract_z
Ba1 Ba 0.250 0.750 0.500
Ba2 Ba 0.758 0.758 0.000
Ba3 Ba 0.750 0.250 0.500
Ba4 Ba 0.242 0.242 0.000
Tl1 Tl 0.667 0.667 0.333
Tl2 Tl 0.333 0.333 0.667
Au1 Au 0.332 0.834 0.166
Au2 Au 0.166 0.668 0.834
Au3 Au 0.668 0.166 0.834
Au4 Au 0.834 0.332 0.166
Au5 Au 0.164 0.164 0.328
Au6 Au 0.836 0.836 0.672
# volume	184.97	Å³/f.u.
# SG	No. 69
# final energy	-39.25	eV/cell
# calculated formation energy	-0.597	eV/atom



# Ba2TlAu | Alexandria | PBE-GGA | optimized geometry
data_Ba2TlAu
_chemical_formula_sum 'Ba2 Tl1 Au1'
_cell_length_a 4.133
_cell_length_b 4.038
_cell_length_c 9.578
_cell_angle_alpha 64.98
_cell_angle_beta 90.00
_cell_angle_gamma 90.00
_space_group_name_H-M_alt 'P 1'
_space_group_IT_number 1
_space_group_name_Hall 'P 1'
loop_
_atom_site_label
_atom_site_type_symbol
_atom_site_fract_x
_atom_site_fract_y
_atom_site_fract_z
Tl1 Tl 0.500 0.250 0.250
Au1 Au 0.500 0.750 0.750
Ba1 Ba 0.000 0.020 0.980
Ba2 Ba 0.000 0.480 0.520
# volume	144.85	Å³/f.u.
# SG	No. 10
# final energy	-11.62	eV/cell
# calculated formation energy	-0.533	eV/atom



# BaTl3Au8 | Alexandria | PBE-GGA | optimized geometry
data_BaTl3Au8
_chemical_formula_sum 'Ba1 Tl3 Au8'
_cell_length_a 5.703
_cell_length_b 5.703
_cell_length_c 9.887
_cell_angle_alpha 90.00
_cell_angle_beta 90.00
_cell_angle_gamma 120.00
_space_group_name_H-M_alt 'P 1'
_space_group_IT_number 1
_space_group_name_Hall 'P 1'
loop_
_atom_site_label
_atom_site_type_symbol
_atom_site_fract_x
_atom_site_fract_y
_atom_site_fract_z
Ba1 Ba 0.000 0.000 0.564
Tl1 Tl 0.667 0.333 0.401
Tl2 Tl 0.667 0.333 0.053
Tl3 Tl 0.000 0.000 0.960
Au1 Au 0.333 0.667 0.504
Au2 Au 0.333 0.667 0.001
Au3 Au 0.502 0.003 0.755
Au4 Au 0.502 0.498 0.755
Au5 Au 0.997 0.498 0.755
Au6 Au 0.166 0.332 0.250
Au7 Au 0.166 0.834 0.250
Au8 Au 0.668 0.834 0.250
# volume	278.51	Å³/f.u.
# SG	No. 156
# final energy	-37.50	eV/cell
# calculated formation energy	-0.188	eV/atom